TmPaZnFe: optimized geometry, GGA-PBE.

Cell and atoms, written as POSCAR:
```
TmPaZnFe
1.0
0.000 3.416 3.416
3.416 0.000 3.416
3.416 3.416 0.000
Tm Pa Zn Fe
1 1 1 1
Cartesian
0.000 0.000 0.000
3.416 3.416 3.416
1.708 1.708 1.708
5.123 5.123 5.123
```

## Properties
magnetic moment: 0.27 μB per cell
ΔH_f (0 K): 0.021 eV per atom
space group: F-43m (216)

Tm7Tl2Pt2: optimized geometry, GGA-PBE.

Cell and atoms, written as POSCAR:
```
Tm7Tl2Pt2
1.0
4.104 -5.458 0.000
4.104 5.458 0.000
0.000 0.000 7.011
Tm Tl Pt
7 2 2
Cartesian
0.000 0.000 0.000
2.052 2.729 1.752
2.052 2.729 5.260
2.052 -2.729 1.752
2.052 -2.729 5.260
4.104 0.000 1.692
4.104 0.000 5.319
1.498 0.000 3.506
6.709 0.000 3.506
4.104 2.316 0.000
4.104 -2.316 0.000
```

## Properties
magnetic moment: 0.00 μB per cell
ΔH_f (0 K): -0.519 eV per atom
space group: Cmmm (65)

Zr3SnBi: optimized geometry, GGA-PBE.

Cell and atoms, written as POSCAR:
```
Zr3SnBi
1.0
5.316 0.000 0.000
0.000 5.316 0.000
0.000 0.000 5.316
Zr Sn Bi
3 1 1
Cartesian
0.000 0.000 2.658
0.000 2.658 0.000
2.658 0.000 0.000
0.000 0.000 0.000
2.658 2.658 2.658
```

## Properties
magnetic moment: 0.00 μB per cell
ΔH_f (0 K): 0.644 eV per atom
space group: Pm-3m (221)

CePr2Eu: optimized geometry, GGA-PBE.

Cell and atoms, written as POSCAR:
```
CePr2Eu
1.0
0.000 4.172 4.172
4.172 0.000 4.172
4.172 4.172 0.000
Ce Pr Eu
1 2 1
Cartesian
0.000 0.000 0.000
2.086 2.086 2.086
6.258 6.258 6.258
4.172 4.172 4.172
```

## Properties
magnetic moment: 9.53 μB per cell
ΔH_f (0 K): 0.225 eV per atom
space group: Fm-3m (225)

TaAlHg2: optimized geometry, GGA-PBE.

Cell and atoms, written as POSCAR:
```
TaAlHg2
1.0
-1.496 2.579 5.110
1.496 -2.579 5.110
1.496 2.579 -5.110
Ta Al Hg
1 1 2
Cartesian
0.000 0.000 0.000
0.000 0.000 5.110
1.496 0.000 2.620
0.000 2.579 2.490
```

## Properties
magnetic moment: 0.00 μB per cell
ΔH_f (0 K): 0.347 eV per atom
space group: Immm (71)

CsLiFe2I6: optimized geometry, GGA-PBE.

Cell and atoms, written as POSCAR:
```
CsLiFe2I6
1.0
7.804 -7.726 0.000
7.804 7.726 0.000
-2.493 0.000 7.542
Cs Li Fe I
2 2 4 12
Cartesian
5.935 4.939 5.656
7.181 -4.939 1.885
7.181 0.329 1.885
5.935 -0.329 5.656
1.531 1.319 6.015
2.777 -1.319 2.244
10.338 1.319 5.298
11.585 -1.319 1.527
4.482 4.064 2.259
2.324 0.512 0.372
1.078 -0.512 4.143
4.040 1.391 6.855
9.880 4.064 1.512
5.286 -1.391 3.085
7.829 1.391 4.457
3.235 -4.064 6.030
9.076 -1.391 0.686
12.038 0.512 3.399
10.791 -0.512 7.170
8.634 -4.064 5.283
```

## Properties
magnetic moment: 16.00 μB per cell
formation energy (no corrections): -5.9 eV/f.u.
space group: C2/c (15)

Dy3P4Pd4: optimized geometry, GGA-PBE.

Cell and atoms, written as POSCAR:
```
Dy3P4Pd4
1.0
-2.031 3.481 6.769
2.031 -3.481 6.769
2.031 3.481 -6.769
Dy P Pd
3 4 4
Cartesian
0.000 0.000 0.000
2.031 0.000 5.054
0.000 3.481 1.715
0.000 0.000 2.934
2.031 2.168 0.000
0.000 1.314 6.769
0.000 0.000 10.604
2.031 1.386 -2.295
2.031 1.386 2.295
0.000 2.095 4.474
0.000 2.095 9.065
```

## Properties
magnetic moment: 0.00 μB per cell
ΔH_f (0 K): -1.100 eV per atom
space group: Immm (71)

Cu2W: optimized geometry, GGA-PBE.

Cell and atoms, written as POSCAR:
```
Cu2W
1.0
0.000 3.389 3.389
3.389 0.000 3.389
3.389 3.389 0.000
Cu W
4 2
Cartesian
0.000 0.000 0.000
1.695 1.695 0.000
1.695 0.000 1.695
0.000 1.695 1.695
2.542 2.542 2.542
4.236 4.236 4.236
```

## Properties
magnetic moment: 0.00 μB per cell
ΔH_f (0 K): 0.275 eV per atom
space group: Fd-3m (227)